This record from the Alexandria database describes crystalline ScCuSCl2 at its relaxed geometry. The functional is PBE.

Unit cell a=4.5918 b=4.5918 c=4.7886 alpha=90.00 beta=90.00 gamma=90.00
With the nearest neighbours (Å) after each atom.
Atoms (fractional coordinates):
Sc 0.0000 0.0000 0.0000  4 S 3.25, 8 Cl 3.32
Cu 0.5000 0.5000 0.5000  4 Cl 2.30, 2 S 2.39
S 0.5000 0.5000 0.0000  2 Cu 2.39
Cl 0.0000 0.5000 0.5000  2 Cu 2.30
Cl 0.5000 0.0000 0.5000  2 Cu 2.30

Results
E above lowest polymorph   312.9 meV/atom
E_tot   -4.152 eV per atom
Energy relative to the elements, uncorrected   -0.502 eV per atom